Entry 1:
Computed, not measured: an optimized crystal structure of TiGa3Co at the PBE-GGA level of DFT.

Cell lengths 5.2734, 8.9535, 6.5997 Å; angles 107.45, 90.00, 90.00 degrees
Last column: nearest neighbours and their distance in Å.
Positions (direct):
1 Ti 0.0061 0.7131 0.3003  2 Co 2.56-2.70, 6 Ga 2.64-2.79
2 Ti 0.9939 0.2869 0.6997  2 Co 2.56-2.70, 6 Ga 2.64-2.79
3 Ti 0.5061 0.7869 0.6997  2 Co 2.56-2.70, 6 Ga 2.64-2.79
4 Ti 0.4939 0.2131 0.3003  2 Co 2.56-2.70, 6 Ga 2.64-2.79
5 Ga 0.7499 0.5706 0.8954  2 Co 2.41-2.48
6 Ga 0.2501 0.4294 0.1046  2 Co 2.41-2.48
7 Ga 0.2499 0.9294 0.1046  2 Co 2.41-2.48
8 Ga 0.7501 0.0706 0.8954  2 Co 2.41-2.48
9 Ga 0.5063 0.7149 0.2740  2 Co 2.46-2.52, 3 Ti 2.64-2.69
10 Ga 0.4937 0.2851 0.7260  2 Co 2.46-2.52, 3 Ti 2.64-2.69
11 Ga 0.0063 0.7851 0.7260  2 Co 2.46-2.52, 3 Ti 2.64-2.69
12 Ga 0.9937 0.2149 0.2740  2 Co 2.46-2.52, 3 Ti 2.64-2.69
13 Ga 0.7454 0.4983 0.4453  1 Co 2.54, 4 Ga 2.68-2.82, 2 Ti 2.76-2.78
14 Ga 0.2546 0.5017 0.5547  1 Co 2.54, 4 Ga 2.68-2.82, 2 Ti 2.76-2.78
15 Ga 0.2454 0.0017 0.5547  1 Co 2.54, 4 Ga 2.68-2.82, 2 Ti 2.76-2.78
16 Ga 0.7546 0.9983 0.4453  1 Co 2.54, 4 Ga 2.68-2.82, 2 Ti 2.76-2.78
17 Co 0.7510 0.3514 0.0517  5 Ga 2.41-2.54, 2 Ti 2.56-2.70
18 Co 0.2490 0.6486 0.9483  5 Ga 2.41-2.54, 2 Ti 2.56-2.70
19 Co 0.2510 0.1486 0.9483  5 Ga 2.41-2.54, 2 Ti 2.56-2.70
20 Co 0.7490 0.8514 0.0517  5 Ga 2.41-2.54, 2 Ti 2.56-2.70

Properties
- formation enthalpy at 0 K (eV/atom) = -0.28
- crystal system = monoclinic
- energy above the most stable polymorph in this dataset (eV per atom) = 0.000



Entry 2:
Computed, not measured: an optimized crystal structure of Pr6SmDy2Y at the PBE-GGA level of DFT.

Cell lengths 9.7910, 9.0300, 9.0300 Å; angles 117.79, 94.02, 94.02 degrees
Last column: nearest neighbours and their distance in Å.
Positions (direct):
1 Pr 0.0542 0.1145 0.7596  7 Pr 3.48-3.85, 1 Dy 3.54, 2 Sm 3.70-3.89
2 Pr 0.4458 0.2404 0.8855  7 Pr 3.48-3.85, 1 Dy 3.54, 2 Sm 3.70-3.89
3 Pr 0.9458 0.8855 0.2404  7 Pr 3.48-3.85, 1 Dy 3.54, 2 Sm 3.70-3.89
4 Pr 0.5542 0.7596 0.1145  7 Pr 3.48-3.85, 1 Dy 3.54, 2 Sm 3.70-3.89
5 Pr 0.3137 0.9895 0.4358  3 Pr 3.32-3.71, 1 Y 3.50, 1 Dy 3.52, 1 Sm 3.63
6 Pr 0.1863 0.5642 0.0105  3 Pr 3.32-3.71, 1 Y 3.50, 1 Dy 3.52, 1 Sm 3.63
7 Pr 0.6863 0.0105 0.5642  3 Pr 3.32-3.71, 1 Y 3.50, 1 Dy 3.52, 1 Sm 3.63
8 Pr 0.8137 0.4358 0.9895  3 Pr 3.32-3.71, 1 Y 3.50, 1 Dy 3.52, 1 Sm 3.63
9 Pr 0.1189 0.7061 0.4903  4 Pr 3.32-3.72, 3 Dy 3.33-3.52, 2 Y 3.49-3.61
10 Pr 0.3811 0.5097 0.2939  4 Pr 3.32-3.72, 3 Dy 3.33-3.52, 2 Y 3.49-3.61
11 Pr 0.8811 0.2939 0.5097  4 Pr 3.32-3.72, 3 Dy 3.33-3.52, 2 Y 3.49-3.61
12 Pr 0.6189 0.4903 0.7061  4 Pr 3.32-3.72, 3 Dy 3.33-3.52, 2 Y 3.49-3.61
13 Sm 0.2500 0.9729 0.0271  4 Dy 3.46-3.47, 4 Pr 3.63-3.70
14 Sm 0.7500 0.0271 0.9729  4 Dy 3.46-3.47, 4 Pr 3.63-3.70
15 Dy 0.4542 0.7999 0.7032  5 Pr 3.33-3.54, 2 Sm 3.46-3.47, 1 Y 3.58
16 Dy 0.0458 0.2968 0.2001  5 Pr 3.33-3.54, 2 Sm 3.46-3.47, 1 Y 3.58
17 Dy 0.5458 0.2001 0.2968  5 Pr 3.33-3.54, 2 Sm 3.46-3.47, 1 Y 3.58
18 Dy 0.9542 0.7032 0.7999  5 Pr 3.33-3.54, 2 Sm 3.46-3.47, 1 Y 3.58
19 Y 0.2500 0.4101 0.5899  6 Pr 3.49-3.61, 2 Dy 3.58
20 Y 0.7500 0.5899 0.4101  6 Pr 3.49-3.61, 2 Dy 3.58

Properties
- formation enthalpy at 0 K (eV/atom) = 0.11
- crystal system = monoclinic



Entry 3:
Computed, not measured: an optimized crystal structure of MoAsN2 at the PBE-GGA level of DFT.

Cell lengths 5.1088, 5.1088, 5.8481 Å; angles 64.10, 64.10, 90.00 degrees
Last column: nearest neighbours and their distance in Å.
Positions (direct):
1 Mo 0.0000 0.0000 0.0000  4 N 1.92
2 Mo 0.7500 0.2500 0.5000  4 N 1.92
3 As 0.5000 0.5000 0.0000  4 N 2.42
4 As 0.2500 0.7500 0.5000  4 N 2.42
5 N 0.7072 0.1250 0.2500  2 Mo 1.92
6 N 0.0428 0.6250 0.2500  2 Mo 1.92
7 N 0.3750 0.2928 0.7500  2 Mo 1.92
8 N 0.8750 0.9572 0.7500  2 Mo 1.92

Properties
- crystal system = tetragonal
- ΔE_f (raw) (eV/atom) = 0.478